An optimized crystal structure of KBa4Ag, computed with GGA-PBE.

Values from the calculation:
Total DFT energy (no corrections) in eV/f.u.: -11.8
Total magnetization in μB per atom: 0.000
Polymorph energy (0 for the lowest one) in meV per atom: 0.0
Crystal system: monoclinic
Formation enthalpy at 0 K in eV per atom: -0.026

a b c (Å): 7.402 8.611 11.040
angles (deg): 90.00 101.75 90.00
Space group P2_1/m (No. 11)
Inequivalent atoms, fractional coordinates:
K  0.232  0.250  0.442
Ba  0.117  0.250  0.060
Ba  0.197  0.750  0.320
Ba  0.350  0.508  0.795
Ag  0.349  0.750  0.043